The following is a PBE with a Hubbard U calculation of crystalline Ca3MoCl2F6 at its relaxed geometry, from the Alexandria database.

For the density of states at the Fermi level, the calculation gives 0.0 states/eV per cell. The calculation puts the total energy at -125.34 eV/cell.

It has space group C2/m (No. 12), with a = 12.570 Å, b = 7.057 Å, c = 5.316 Å, α = 90.00°, β = 100.02° and γ = 90.00°. The inequivalent atoms are Ca at (0.000, 0.000, 0.000), Ca at (0.250, 0.250, 0.500), Mo at (0.000, 0.500, 0.500), Cl at (0.191, 0.000, 0.835), F at (0.071, 0.241, 0.292) and F at (0.174, 0.500, 0.654).